1.
VASP calculation (PBE-GGA) on a relaxed Ni2GePt crystal.

Values from the calculation:
Crystal system = orthorhombic
ΔE_f = -0.246 eV/atom
D(E_F) = 5.84 states/eV/cell
Symmetry = Cmcm
Total magnetic moment = 0.000 μB per formula unit
Raw total energy = -5.801 eV/atom

```
data_Ni2GePt
_chemical_formula_sum 'Ni4 Ge2 Pt2'
_space_group_name_H-M_alt 'P 1'
_space_group_IT_number 1
_cell_length_a 3.6614
_cell_length_b 4.6196
_cell_length_c 6.8574
_cell_angle_alpha 90.00
_cell_angle_beta 90.00
_cell_angle_gamma 113.35
loop_
_space_group_symop_operation_xyz
'x,y,z'
loop_
_atom_site_label
_atom_site_type_symbol
_atom_site_fract_x
_atom_site_fract_y
_atom_site_fract_z
Ni1 Ni 0.3629 0.7257 0.9426
Ni2 Ni 0.6371 0.2743 0.0574
Ni3 Ni 0.6371 0.2743 0.4426
Ni4 Ni 0.3629 0.7257 0.5574
Ge1 Ge 0.7654 0.5307 0.7500
Ge2 Ge 0.2346 0.4693 0.2500
Pt1 Pt 0.0597 0.1193 0.7500
Pt2 Pt 0.9403 0.8807 0.2500
```

2.
VASP calculation (PBE-GGA) on a relaxed Ni8Ge2Pt crystal.

Values from the calculation:
Crystal system = monoclinic
Offset from the most stable computed form = 121 meV per atom
ΔE_f = -0.048 eV/atom
D(E_F) = 12.44 states/eV/cell
Symmetry = C2/m
Total magnetic moment = 0.000 μB per formula unit
Raw total energy = -5.642 eV/atom

```
data_Ni8Ge2Pt
_chemical_formula_sum 'Ni8 Ge2 Pt1'
_space_group_name_H-M_alt 'P 1'
_space_group_IT_number 1
_cell_length_a 4.2031
_cell_length_b 6.5727
_cell_length_c 6.3618
_cell_angle_alpha 58.90
_cell_angle_beta 77.87
_cell_angle_gamma 66.00
loop_
_space_group_symop_operation_xyz
'x,y,z'
loop_
_atom_site_label
_atom_site_type_symbol
_atom_site_fract_x
_atom_site_fract_y
_atom_site_fract_z
Ni1 Ni 0.8824 0.0909 0.2257
Ni2 Ni 0.8824 0.3166 0.7743
Ni3 Ni 0.3118 0.4107 0.0000
Ni4 Ni 0.5000 0.7735 0.4531
Ni5 Ni 0.5000 0.2265 0.5469
Ni6 Ni 0.6882 0.5893 0.0000
Ni7 Ni 0.1176 0.6834 0.2257
Ni8 Ni 0.1176 0.9091 0.7743
Ge1 Ge 0.0000 0.3101 0.3799
Ge2 Ge 0.0000 0.6899 0.6201
Pt1 Pt 0.5000 0.0000 0.0000
```

3.
VASP calculation (PBE-GGA) on a relaxed Ni5Ge2Pt crystal.

Values from the calculation:
Crystal system = orthorhombic
ΔE_f = -0.181 eV/atom
D(E_F) = 7.07 states/eV/cell
Symmetry = Immm
Total magnetic moment = 0.000 μB per formula unit
Raw total energy = -5.704 eV/atom

```
data_Ni5Ge2Pt
_chemical_formula_sum 'Ni5 Ge2 Pt1'
_space_group_name_H-M_alt 'P 1'
_space_group_IT_number 1
_cell_length_a 2.7321
_cell_length_b 6.2912
_cell_length_c 6.2912
_cell_angle_alpha 72.83
_cell_angle_beta 77.46
_cell_angle_gamma 77.46
loop_
_space_group_symop_operation_xyz
'x,y,z'
loop_
_atom_site_label
_atom_site_type_symbol
_atom_site_fract_x
_atom_site_fract_y
_atom_site_fract_z
Ni1 Ni 0.0000 0.5000 0.5000
Ni2 Ni 0.6316 0.5955 0.1414
Ni3 Ni 0.3684 0.4045 0.8586
Ni4 Ni 0.3684 0.8586 0.4045
Ni5 Ni 0.6316 0.1414 0.5955
Ge1 Ge 0.7525 0.7475 0.7475
Ge2 Ge 0.2475 0.2525 0.2525
Pt1 Pt 0.0000 0.0000 0.0000
```

4.
VASP calculation (PBE-GGA) on a relaxed Ni5GePt4 crystal.

Values from the calculation:
Crystal system = monoclinic
ΔE_f = -0.051 eV/atom
D(E_F) = 15.92 states/eV/cell
Symmetry = C2/m
Total magnetic moment = 2.209 μB per formula unit
Raw total energy = -5.819 eV/atom

```
data_Ni5GePt4
_chemical_formula_sum 'Ni5 Ge1 Pt4'
_space_group_name_H-M_alt 'P 1'
_space_group_IT_number 1
_cell_length_a 3.5842
_cell_length_b 10.4507
_cell_length_c 7.2280
_cell_angle_alpha 145.62
_cell_angle_beta 104.36
_cell_angle_gamma 90.00
loop_
_space_group_symop_operation_xyz
'x,y,z'
loop_
_atom_site_label
_atom_site_type_symbol
_atom_site_fract_x
_atom_site_fract_y
_atom_site_fract_z
Ni1 Ni 0.8105 0.3833 0.6209
Ni2 Ni 0.8580 0.9443 0.7161
Ni3 Ni 0.1420 0.0557 0.2839
Ni4 Ni 0.5000 0.5000 0.0000
Ni5 Ni 0.1895 0.6167 0.3791
Ge1 Ge 0.5000 0.0000 0.0000
Pt1 Pt 0.4025 0.6547 0.8051
Pt2 Pt 0.1516 0.8194 0.3032
Pt3 Pt 0.5975 0.3453 0.1949
Pt4 Pt 0.8484 0.1806 0.6968
```

5.
VASP calculation (PBE-GGA) on a relaxed Ni2GePt crystal.

Values from the calculation:
Crystal system = tetragonal
ΔE_f = -0.171 eV/atom
D(E_F) = 3.15 states/eV/cell
Symmetry = P4/mmm
Total magnetic moment = 0.000 μB per formula unit
Raw total energy = -5.726 eV/atom

```
data_Ni2GePt
_chemical_formula_sum 'Ni2 Ge1 Pt1'
_space_group_name_H-M_alt 'P 1'
_space_group_IT_number 1
_cell_length_a 2.8732
_cell_length_b 2.8732
_cell_length_c 6.2430
_cell_angle_alpha 90.00
_cell_angle_beta 90.00
_cell_angle_gamma 90.00
loop_
_space_group_symop_operation_xyz
'x,y,z'
loop_
_atom_site_label
_atom_site_type_symbol
_atom_site_fract_x
_atom_site_fract_y
_atom_site_fract_z
Ni1 Ni 0.0000 0.0000 0.7802
Ni2 Ni 0.0000 0.0000 0.2198
Ge1 Ge 0.5000 0.5000 0.0000
Pt1 Pt 0.5000 0.5000 0.5000
```

6.
VASP calculation (PBE-GGA) on a relaxed Ni4GePt2 crystal.

Values from the calculation:
Crystal system = triclinic
Offset from the most stable computed form = 8 meV per atom
ΔE_f = -0.147 eV/atom
D(E_F) = 21.41 states/eV/cell
Symmetry = P1
Total magnetic moment = 1.101 μB per formula unit
Raw total energy = -5.836 eV/atom

```
data_Ni4GePt2
_chemical_formula_sum 'Ni8 Ge2 Pt4'
_space_group_name_H-M_alt 'P 1'
_space_group_IT_number 1
_cell_length_a 6.0437
_cell_length_b 5.1816
_cell_length_c 6.9420
_cell_angle_alpha 112.79
_cell_angle_beta 103.04
_cell_angle_gamma 105.40
loop_
_space_group_symop_operation_xyz
'x,y,z'
loop_
_atom_site_label
_atom_site_type_symbol
_atom_site_fract_x
_atom_site_fract_y
_atom_site_fract_z
Ni1 Ni 0.9402 0.2174 0.2343
Ni2 Ni 0.2057 0.5102 0.0918
Ni3 Ni 0.9707 0.7467 0.5461
Ni4 Ni 0.7920 0.0760 0.8191
Ni5 Ni 0.2374 0.0072 0.3939
Ni6 Ni 0.3897 0.1577 0.8292
Ni7 Ni 0.5093 0.8050 0.9653
Ni8 Ni 0.8245 0.5986 0.1148
Ge1 Ge 0.3525 0.6637 0.5287
Ge2 Ge 0.0978 0.8966 0.9790
Pt1 Pt 0.6674 0.4754 0.6992
Pt2 Pt 0.6455 0.9194 0.3794
Pt3 Pt 0.5263 0.3165 0.2497
Pt4 Pt 0.0910 0.3596 0.6695
```

7.
VASP calculation (PBE-GGA) on a relaxed NiGe2Pt crystal.

Values from the calculation:
Crystal system = tetragonal
Offset from the most stable computed form = 0 meV per atom
ΔE_f = -0.163 eV/atom
D(E_F) = 3.96 states/eV/cell
Symmetry = I-42d
Total magnetic moment = 0.000 μB per formula unit
Raw total energy = -5.427 eV/atom

```
data_NiGe2Pt
_chemical_formula_sum 'Ni2 Ge4 Pt2'
_space_group_name_H-M_alt 'P 1'
_space_group_IT_number 1
_cell_length_a 4.0116
_cell_length_b 4.0116
_cell_length_c 8.5294
_cell_angle_alpha 76.40
_cell_angle_beta 76.40
_cell_angle_gamma 90.00
loop_
_space_group_symop_operation_xyz
'x,y,z'
loop_
_atom_site_label
_atom_site_type_symbol
_atom_site_fract_x
_atom_site_fract_y
_atom_site_fract_z
Ni1 Ni 0.5000 0.5000 0.0000
Ni2 Ni 0.2500 0.7500 0.5000
Ge1 Ge 0.6032 0.1250 0.2500
Ge2 Ge 0.1468 0.6250 0.2500
Ge3 Ge 0.3750 0.3968 0.7500
Ge4 Ge 0.8750 0.8532 0.7500
Pt1 Pt 0.0000 0.0000 0.0000
Pt2 Pt 0.7500 0.2500 0.5000
```

8.
VASP calculation (PBE-GGA) on a relaxed NiGePt2 crystal.

Values from the calculation:
Crystal system = orthorhombic
ΔE_f = -0.347 eV/atom
D(E_F) = 3.90 states/eV/cell
Symmetry = Fmmm
Total magnetic moment = 0.000 μB per formula unit
Raw total energy = -5.968 eV/atom

```
data_NiGePt2
_chemical_formula_sum 'Ni2 Ge2 Pt4'
_space_group_name_H-M_alt 'P 1'
_space_group_IT_number 1
_cell_length_a 5.5493
_cell_length_b 5.4294
_cell_length_c 5.3757
_cell_angle_alpha 61.80
_cell_angle_beta 59.57
_cell_angle_gamma 58.62
loop_
_space_group_symop_operation_xyz
'x,y,z'
loop_
_atom_site_label
_atom_site_type_symbol
_atom_site_fract_x
_atom_site_fract_y
_atom_site_fract_z
Ni1 Ni 0.7985 0.2015 0.7985
Ni2 Ni 0.2015 0.7985 0.2015
Ge1 Ge 0.7667 0.7667 0.2333
Ge2 Ge 0.2333 0.2333 0.7667
Pt1 Pt 0.3015 0.6985 0.6985
Pt2 Pt 0.7500 0.7500 0.7500
Pt3 Pt 0.6985 0.3015 0.3015
Pt4 Pt 0.2500 0.2500 0.2500
```

- What is the formula in the seventh record?
  NiGe2Pt